Entry 1:
BaInBr2: relaxed, PBE-GGA.

Summary:
- relative energy among the computed polymorphs (eV per atom) = 0.029
- space group = Immm (71)
- raw formation energy (eV/f.u.) = -4.89

a = 5.9909 Å, b = 5.9909 Å, c = 5.9909 Å
α = 131.28°, β = 120.61°, γ = 80.28°
With the nearest neighbours (Å) after each atom.
Fractional coordinates of all 4 atoms:
Ba  0.0000  0.0000  0.0000  8 Br 3.53-3.62, 4 In 3.86
In  0.5000  0.5000  0.0000  4 Br 3.22
Br  0.2746  0.7746  0.5000  2 In 3.22, 2 Ba 3.53
Br  0.7254  0.2254  0.5000  2 In 3.22, 2 Ba 3.53

***

Entry 2:
AlFeNi4: relaxed, PBE-GGA.

Summary:
- relative energy among the computed polymorphs (eV per atom) = 0.142
- ΔE_f (meV/atom) = -96
- space group = Fddd (70)

a = 7.9868 Å, b = 7.2780 Å, c = 4.8501 Å
α = 79.63°, β = 63.69°, γ = 36.68°
With the nearest neighbours (Å) after each atom.
Fractional coordinates of all 12 atoms:
Al  0.1250  0.1250  0.1250  8 Ni 2.46-2.47, 2 Fe 2.52
Al  0.8750  0.8750  0.8750  8 Ni 2.46-2.47, 2 Fe 2.52
Fe  0.3750  0.3750  0.3750  8 Ni 2.42-2.47, 2 Al 2.52
Fe  0.6250  0.6250  0.6250  8 Ni 2.42-2.47, 2 Al 2.52
Ni  0.0340  0.5263  0.2224  2 Fe 2.42-2.47, 2 Al 2.46-2.47, 7 Ni 2.51-2.60
Ni  0.2224  0.7173  0.0340  2 Fe 2.42-2.47, 2 Al 2.46-2.47, 7 Ni 2.51-2.60
Ni  0.2827  0.7776  0.4737  2 Fe 2.42-2.47, 2 Al 2.46-2.47, 7 Ni 2.51-2.60
Ni  0.4737  0.9660  0.2827  2 Fe 2.42-2.47, 2 Al 2.46-2.47, 7 Ni 2.51-2.60
Ni  0.5263  0.0340  0.7173  2 Fe 2.42-2.47, 2 Al 2.46-2.47, 7 Ni 2.51-2.60
Ni  0.7173  0.2224  0.5263  2 Fe 2.42-2.47, 2 Al 2.46-2.47, 7 Ni 2.51-2.60
Ni  0.7776  0.2827  0.9660  2 Fe 2.42-2.47, 2 Al 2.46-2.47, 7 Ni 2.51-2.60
Ni  0.9660  0.4737  0.7776  2 Fe 2.42-2.47, 2 Al 2.46-2.47, 7 Ni 2.51-2.60

***

Entry 3:
La6Ge3IBr2: relaxed, PBE-GGA.

Summary:
- space group = C2/m (12)
- raw formation energy (eV/f.u.) = -14.21

a = 10.0797 Å, b = 10.0797 Å, c = 9.0421 Å
α = 104.39°, β = 104.39°, γ = 25.48°
With the nearest neighbours (Å) after each atom.
Fractional coordinates of all 12 atoms:
La  0.0062  0.0062  0.2266  3 Ge 3.00-3.04, 1 Br 3.33, 2 I 3.35
La  0.3237  0.3237  0.4333  3 Ge 3.01-3.04, 2 Br 3.33, 1 I 3.36
La  0.3411  0.3411  0.8974  3 Ge 3.02-3.03, 3 Br 3.30-3.32
La  0.6589  0.6589  0.1026  3 Ge 3.02-3.03, 3 Br 3.30-3.32
La  0.6763  0.6763  0.5667  3 Ge 3.01-3.04, 2 Br 3.33, 1 I 3.36
La  0.9938  0.9938  0.7734  3 Ge 3.00-3.04, 1 Br 3.33, 2 I 3.35
Ge  0.1656  0.1656  0.3329  6 La 3.01-3.04
Ge  0.5000  0.5000  0.0000  6 La 3.00-3.02
Ge  0.8344  0.8344  0.6671  6 La 3.01-3.04
I  0.5000  0.5000  0.5000  6 La 3.35-3.36
Br  0.1684  0.1684  0.8363  6 La 3.30-3.33
Br  0.8316  0.8316  0.1637  6 La 3.30-3.33

***

Entry 4:
ErTiSi2Ru: relaxed, PBE-GGA.

Summary:
- space group = I-4m2 (119)
- raw formation energy (eV/f.u.) = -4.18

a = 6.0883 Å, b = 6.0883 Å, c = 6.0883 Å
α = 141.90°, β = 141.90°, γ = 54.98°
With the nearest neighbours (Å) after each atom.
Fractional coordinates of all 5 atoms:
Er  0.0000  0.0000  0.0000  8 Si 3.05, 4 Ti 3.35, 4 Ru 3.35
Ti  0.2500  0.7500  0.5000  4 Si 2.50
Si  0.3898  0.3898  0.0000  1 Si 2.38, 2 Ru 2.50, 2 Ti 2.50
Si  0.6102  0.6102  0.0000  1 Si 2.38, 2 Ru 2.50, 2 Ti 2.50
Ru  0.7500  0.2500  0.5000  4 Si 2.50

***

Entry 5:
DyMg2In: relaxed, PBE-GGA.

Summary:
- relative energy among the computed polymorphs (eV per atom) = 0.171
- ΔE_f (meV/atom) = -107
- space group = P4/mmm (123)

a = 3.5107 Å, b = 3.5107 Å, c = 8.1950 Å
α = 90.00°, β = 90.00°, γ = 90.00°
With the nearest neighbours (Å) after each atom.
Fractional coordinates of all 4 atoms:
Dy  0.0000  0.0000  0.0000  8 Mg 3.36, 4 Dy 3.51
Mg  0.5000  0.5000  0.2758  4 In 3.09, 4 Dy 3.36
Mg  0.5000  0.5000  0.7242  4 In 3.09, 4 Dy 3.36
In  0.0000  0.0000  0.5000  8 Mg 3.09

***

Entry 6:
K12I3F5: relaxed, PBE-GGA.

Summary:
- space group = Ia-3d (230)
- raw formation energy (eV/f.u.) = -33.14

a = 15.9711 Å, b = 15.9711 Å, c = 15.9711 Å
α = 109.47°, β = 109.47°, γ = 109.47°
With the nearest neighbours (Å) after each atom.
Fractional coordinates of all 80 atoms:
K  0.0030  0.1906  0.1106  1 F 2.57
K  0.0030  0.3124  0.8924  1 F 2.57
K  0.0800  0.6906  0.6876  1 F 2.57
K  0.0800  0.8894  0.3924  1 F 2.57
K  0.1076  0.6106  0.4200  1 F 2.57
K  0.1076  0.9970  0.6876  1 F 2.57
K  0.1106  0.0030  0.1906  1 F 2.57
K  0.1106  0.6076  0.9200  1 F 2.57
K  0.1876  0.1906  0.5800  1 F 2.57
K  0.1876  0.4970  0.6076  1 F 2.57
K  0.1906  0.1106  0.0030  1 F 2.57
K  0.1906  0.5800  0.1876  1 F 2.57
K  0.3094  0.3124  0.9200  1 F 2.57
K  0.3094  0.4970  0.3894  1 F 2.57
K  0.3124  0.8924  0.0030  1 F 2.57
K  0.3124  0.9200  0.3094  1 F 2.57
K  0.3894  0.3094  0.4970  1 F 2.57
K  0.3894  0.5800  0.8924  1 F 2.57
K  0.3924  0.0800  0.8894  1 F 2.57
K  0.3924  0.8124  0.5030  1 F 2.57
K  0.4200  0.1076  0.6106  1 F 2.57
K  0.4200  0.8124  0.8094  1 F 2.57
K  0.4970  0.3894  0.3094  1 F 2.57
K  0.4970  0.6076  0.1876  1 F 2.57
K  0.5030  0.3924  0.8124  1 F 2.57
K  0.5030  0.6106  0.6906  1 F 2.57
K  0.5800  0.1876  0.1906  1 F 2.57
K  0.5800  0.8924  0.3894  1 F 2.57
K  0.6076  0.1876  0.4970  1 F 2.57
K  0.6076  0.9200  0.1106  1 F 2.57
K  0.6106  0.4200  0.1076  1 F 2.57
K  0.6106  0.6906  0.5030  1 F 2.57
K  0.6876  0.0800  0.6906  1 F 2.57
K  0.6876  0.1076  0.9970  1 F 2.57
K  0.6906  0.5030  0.6106  1 F 2.57
K  0.6906  0.6876  0.0800  1 F 2.57
K  0.8094  0.4200  0.8124  1 F 2.57
K  0.8094  0.8894  0.9970  1 F 2.57
K  0.8124  0.5030  0.3924  1 F 2.57
K  0.8124  0.8094  0.4200  1 F 2.57
K  0.8894  0.3924  0.0800  1 F 2.57
K  0.8894  0.9970  0.8094  1 F 2.57
K  0.8924  0.0030  0.3124  1 F 2.57
K  0.8924  0.3894  0.5800  1 F 2.57
K  0.9200  0.1106  0.6076  1 F 2.57
K  0.9200  0.3094  0.3124  1 F 2.57
K  0.9970  0.6876  0.1076  1 F 2.57
K  0.9970  0.8094  0.8894  1 F 2.57
I  0.1250  0.2500  0.3750  8 K 3.62-3.94
I  0.1250  0.3750  0.7500  8 K 3.62-3.94
I  0.2500  0.3750  0.1250  8 K 3.62-3.94
I  0.2500  0.8750  0.6250  8 K 3.62-3.94
I  0.3750  0.1250  0.2500  8 K 3.62-3.94
I  0.3750  0.7500  0.1250  8 K 3.62-3.94
I  0.6250  0.2500  0.8750  8 K 3.62-3.94
I  0.6250  0.8750  0.7500  8 K 3.62-3.94
I  0.7500  0.1250  0.3750  8 K 3.62-3.94
I  0.7500  0.6250  0.8750  8 K 3.62-3.94
I  0.8750  0.6250  0.2500  8 K 3.62-3.94
I  0.8750  0.7500  0.6250  8 K 3.62-3.94
F  0.0000  0.0000  0.0000  6 K 2.94
F  0.0000  0.0000  0.5000  6 K 2.94
F  0.0000  0.5000  0.0000  6 K 2.94
F  0.0000  0.5000  0.5000  6 K 2.94
F  0.1250  0.7500  0.8750  4 K 2.57
F  0.1250  0.8750  0.2500  4 K 2.57
F  0.2500  0.1250  0.8750  4 K 2.57
F  0.2500  0.6250  0.3750  4 K 2.57
F  0.3750  0.2500  0.6250  4 K 2.57
F  0.3750  0.6250  0.7500  4 K 2.57
F  0.5000  0.0000  0.0000  6 K 2.94
F  0.5000  0.0000  0.5000  6 K 2.94
F  0.5000  0.5000  0.0000  6 K 2.94
F  0.5000  0.5000  0.5000  6 K 2.94
F  0.6250  0.3750  0.2500  4 K 2.57
F  0.6250  0.7500  0.3750  4 K 2.57
F  0.7500  0.3750  0.6250  4 K 2.57
F  0.7500  0.8750  0.1250  4 K 2.57
F  0.8750  0.1250  0.7500  4 K 2.57
F  0.8750  0.2500  0.1250  4 K 2.57

***

Entry 7:
Zr12Ga6Ru: relaxed, PBE-GGA.

Summary:
- ΔE_f (meV/atom) = -308
- space group = R-3 (148)

a = 7.2467 Å, b = 7.2467 Å, c = 7.2467 Å
α = 89.81°, β = 89.81°, γ = 89.81°
With the nearest neighbours (Å) after each atom.
Fractional coordinates of all 19 atoms:
Zr  0.0202  0.9325  0.3087  4 Ga 2.95-3.01, 5 Zr 2.96-3.25
Zr  0.0675  0.6913  0.9798  4 Ga 2.95-3.01, 5 Zr 2.96-3.25
Zr  0.1301  0.4603  0.3604  4 Zr 2.82-3.06, 1 Ru 2.88, 4 Ga 2.97-3.02
Zr  0.3087  0.0202  0.9325  4 Ga 2.95-3.01, 5 Zr 2.96-3.25
Zr  0.3604  0.1301  0.4603  4 Zr 2.82-3.06, 1 Ru 2.88, 4 Ga 2.97-3.02
Zr  0.4603  0.3604  0.1301  4 Zr 2.82-3.06, 1 Ru 2.88, 4 Ga 2.97-3.02
Zr  0.5397  0.6396  0.8699  4 Zr 2.82-3.06, 1 Ru 2.88, 4 Ga 2.97-3.02
Zr  0.6396  0.8699  0.5397  4 Zr 2.82-3.06, 1 Ru 2.88, 4 Ga 2.97-3.02
Zr  0.6913  0.9798  0.0675  4 Ga 2.95-3.01, 5 Zr 2.96-3.25
Zr  0.8699  0.5397  0.6396  4 Zr 2.82-3.06, 1 Ru 2.88, 4 Ga 2.97-3.02
Zr  0.9325  0.3087  0.0202  4 Ga 2.95-3.01, 5 Zr 2.96-3.25
Zr  0.9798  0.0675  0.6913  4 Ga 2.95-3.01, 5 Zr 2.96-3.25
Ga  0.2347  0.3837  0.7569  1 Ru 2.80, 2 Ga 2.94, 8 Zr 2.95-3.02
Ga  0.2431  0.7653  0.6163  1 Ru 2.80, 2 Ga 2.94, 8 Zr 2.95-3.02
Ga  0.3837  0.7569  0.2347  1 Ru 2.80, 2 Ga 2.94, 8 Zr 2.95-3.02
Ga  0.6163  0.2431  0.7653  1 Ru 2.80, 2 Ga 2.94, 8 Zr 2.95-3.02
Ga  0.7569  0.2347  0.3837  1 Ru 2.80, 2 Ga 2.94, 8 Zr 2.95-3.02
Ga  0.7653  0.6163  0.2431  1 Ru 2.80, 2 Ga 2.94, 8 Zr 2.95-3.02
Ru  0.5000  0.5000  0.5000  6 Ga 2.80, 6 Zr 2.88

***

Entry 8:
CsAsPtBr2: relaxed, PBE-GGA.

Summary:
- space group = P4/mmm (123)
- raw formation energy (eV/f.u.) = -2.42

a = 5.7549 Å, b = 5.7549 Å, c = 4.6962 Å
α = 90.00°, β = 90.00°, γ = 90.00°
With the nearest neighbours (Å) after each atom.
Fractional coordinates of all 5 atoms:
Cs  0.0000  0.0000  0.0000  8 Br 3.71, 4 As 4.07
As  0.5000  0.5000  0.0000  2 Pt 2.35
Pt  0.5000  0.5000  0.5000  2 As 2.35
Br  0.0000  0.5000  0.5000  2 Pt 2.88
Br  0.5000  0.0000  0.5000  2 Pt 2.88

***

Entry 9:
RbZrB: relaxed, PBE-GGA.

Summary:
- relative energy among the computed polymorphs (eV per atom) = 1.609
- ΔE_f (meV/atom) = 1607
- space group = P6_3/mmc (194)

a = 5.8657 Å, b = 5.8657 Å, c = 8.6798 Å
α = 90.00°, β = 90.00°, γ = 120.00°
With the nearest neighbours (Å) after each atom.
Fractional coordinates of all 6 atoms:
Rb  0.3333  0.6667  0.2500  3 B 3.39
Rb  0.6667  0.3333  0.7500  3 B 3.39
Zr  0.0000  0.0000  0.0000  2 B 2.17
Zr  0.0000  0.0000  0.5000  2 B 2.17
B  0.0000  0.0000  0.2500  2 Zr 2.17
B  0.0000  0.0000  0.7500  2 Zr 2.17

***

Entry 10:
KScSn3: relaxed, PBE-GGA.

Summary:
- relative energy among the computed polymorphs (eV per atom) = 1.117
- ΔE_f (meV/atom) = 1077
- space group = Pm-3m (221)

a = 5.6209 Å, b = 5.6209 Å, c = 5.6209 Å
α = 90.00°, β = 90.00°, γ = 90.00°
With the nearest neighbours (Å) after each atom.
Fractional coordinates of all 5 atoms:
K  0.0000  0.0000  0.0000  6 Sn 2.81
Sc  0.5000  0.5000  0.5000  12 Sn 3.97
Sn  0.0000  0.0000  0.5000  2 K 2.81
Sn  0.0000  0.5000  0.0000  2 K 2.81
Sn  0.5000  0.0000  0.0000  2 K 2.81

***

Entry 11:
Pm2Ho2Si3: relaxed, PBE-GGA.

Summary:
- space group = C2/m (12)
- raw formation energy (eV/f.u.) = -3.47

a = 5.7266 Å, b = 5.7266 Å, c = 8.0642 Å
α = 99.25°, β = 99.25°, γ = 47.53°
With the nearest neighbours (Å) after each atom.
Fractional coordinates of all 7 atoms:
Pm  0.1272  0.1272  0.3508  4 Si 2.91-3.07
Pm  0.8728  0.8728  0.6492  4 Si 2.91-3.07
Ho  0.3592  0.3592  0.0753  5 Si 2.86-3.00
Ho  0.6408  0.6408  0.9247  5 Si 2.86-3.00
Si  0.0000  0.0000  0.0000  4 Ho 2.86, 2 Pm 2.91
Si  0.1997  0.1997  0.7274  3 Ho 2.93-3.00, 3 Pm 3.00-3.07
Si  0.8003  0.8003  0.2726  3 Ho 2.93-3.00, 3 Pm 3.00-3.07

***

Entry 12:
TlZnAs: relaxed, PBE-GGA.

Summary:
- ΔE_f (meV/atom) = 177
- space group = Fmm2 (42)

a = 6.6702 Å, b = 6.5160 Å, c = 3.3899 Å
α = 77.64°, β = 72.60°, γ = 29.76°
With the nearest neighbours (Å) after each atom.
Fractional coordinates of all 3 atoms:
Tl  0.0000  0.0000  0.0000  4 Zn 3.17-3.48, 2 As 3.34, 4 Tl 3.39
Zn  0.6880  0.6880  0.3120  2 As 2.54
As  0.2940  0.2940  0.7060  2 Zn 2.54

***

Ρ across the listed records, respectively: 5.09 7.40 5.81 7.25 5.36 2.00 7.04 6.01 2.41 4.12 6.09 8.24 g/cm3.